# InAgSn2

A geometry-optimized InAgSn2 structure (PBE, Alexandria).

CIF file:
```
data_InAgSn2
_symmetry_space_group_name_H-M 'P 4/m m m'
_symmetry_Int_Tables_number 123
_symmetry_space_group_name_Hall '-P 4 2'
_cell_length_a 3.364
_cell_length_b 3.364
_cell_length_c 8.845
_cell_angle_alpha 90.00
_cell_angle_beta 90.00
_cell_angle_gamma 90.00
loop_
_atom_site_label
_atom_site_type_symbol
_atom_site_fract_x
_atom_site_fract_y
_atom_site_fract_z
In1 In 0.000 0.000 0.000
Ag1 Ag 0.000 0.000 0.500
Sn1 Sn 0.500 0.500 0.281
```

Values from the calculation:
**Formation energy**: 34 meV per atom
**Excess energy over the best structure of this formula in the dataset**: 0.0 meV/atom
**Magnetization**: 0.00 μB per formula unit